Entry 1:
A plane-wave DFT calculation with PBE was carried out for a relaxed Pm3Sm4Tl crystal.

Energy relative to the elements ... -0.07 eV per atom
VASP energy ... -0.16559 Ha/atom

a = 6.291 Å, b = 7.221 Å, c = 11.426 Å
α = 90.00°, β = 90.00°, γ = 90.00°
Fractional coordinates of all 16 atoms:
Pm1 0.992 0.129 0.500
Tl1 0.477 0.879 0.500
Pm2 0.492 0.871 0.000
Pm3 0.155 0.884 0.758
Tl2 0.977 0.121 0.000
Sm1 0.640 0.630 0.267
Sm2 0.458 0.374 0.500
Sm3 0.140 0.370 0.233
Pm4 0.155 0.884 0.242
Sm4 0.640 0.630 0.733
Pm5 0.655 0.116 0.258
Sm5 0.140 0.370 0.767
Sm6 0.498 0.369 0.000
Sm7 0.998 0.631 0.500
Pm6 0.655 0.116 0.742
Sm8 0.958 0.626 0.000

---

Entry 2:
A plane-wave DFT calculation with PBE was carried out for a relaxed GaFeReH crystal.

VASP energy ... -0.24670 Ha/atom

a = 2.775 Å, b = 2.775 Å, c = 6.730 Å
α = 90.00°, β = 90.00°, γ = 120.00°
Fractional coordinates of all 4 atoms:
Re1 0.333 0.667 0.336
Ga1 0.667 0.333 0.666
H1 0.333 0.667 0.946
Fe1 0.667 0.333 0.040

---

Entry 3:
A plane-wave DFT calculation with PBE was carried out for a relaxed Ba3TeS crystal.

Formation energy without anion corrections ... -1.166 eV per atom
VASP energy ... -0.13867 Ha/atom

a = 6.004 Å, b = 6.004 Å, c = 6.004 Å
α = 90.00°, β = 90.00°, γ = 90.00°
Fractional coordinates of all 5 atoms:
S1 0.000 0.000 0.000
Ba1 0.000 0.500 0.000
Ba2 0.500 0.000 0.000
Te1 0.500 0.500 0.500
Ba3 0.000 0.000 0.500

---

Entry 4:
A plane-wave DFT calculation with PBE was carried out for a relaxed Zr5Tc4Mo crystal.

Energy relative to the elements ... -0.27 eV per atom
VASP energy ... -0.35932 Ha/atom

a = 3.302 Å, b = 3.302 Å, c = 16.538 Å
α = 90.00°, β = 90.00°, γ = 90.00°
Fractional coordinates of all 10 atoms:
Zr1 0.500 0.500 0.302
Zr2 0.500 0.500 0.500
Tc1 0.000 0.000 0.201
Tc2 0.000 0.000 0.799
Tc3 0.000 0.000 0.401
Zr3 0.500 0.500 0.104
Zr4 0.500 0.500 0.698
Mo1 0.000 0.000 0.000
Tc4 0.000 0.000 0.599
Zr5 0.500 0.500 0.896

---

Entry 5:
A plane-wave DFT calculation with PBE was carried out for a relaxed Dy2ZnIr crystal.

Energy relative to the elements ... -0.61 eV per atom
VASP energy ... -0.20020 Ha/atom

a = 3.507 Å, b = 3.507 Å, c = 7.039 Å
α = 90.00°, β = 90.00°, γ = 90.00°
Fractional coordinates of all 4 atoms:
Dy1 0.000 0.000 0.769
Zn1 0.500 0.500 0.500
Ir1 0.500 0.500 0.000
Dy2 0.000 0.000 0.231

---

Entry 6:
A plane-wave DFT calculation with PBE was carried out for a relaxed AlCuPt3 crystal.

Energy relative to the elements ... 0.48 eV per atom
VASP energy ... -0.17325 Ha/atom

a = 4.535 Å, b = 4.535 Å, c = 4.535 Å
α = 90.00°, β = 90.00°, γ = 90.00°
Fractional coordinates of all 5 atoms:
Al1 0.000 0.000 0.000
Pt1 0.500 0.000 0.000
Pt2 0.000 0.500 0.000
Cu1 0.500 0.500 0.500
Pt3 0.000 0.000 0.500

---

Entry 7:
A plane-wave DFT calculation with PBE was carried out for a relaxed CuRhN2 crystal.

Formation energy without anion corrections ... 0.707 eV per atom
VASP energy ... -0.23217 Ha/atom

a = 6.106 Å, b = 6.106 Å, c = 6.106 Å
α = 28.74°, β = 28.74°, γ = 28.74°
Fractional coordinates of all 4 atoms:
Cu1 0.000 0.000 0.000
N1 0.104 0.104 0.104
Rh1 0.500 0.500 0.500
N2 0.896 0.896 0.896

---

Entry 8:
A plane-wave DFT calculation with PBE was carried out for a relaxed Ce2NdGeN5 crystal.

Formation energy without anion corrections ... -0.928 eV per atom
VASP energy ... -0.29085 Ha/atom

a = 3.350 Å, b = 8.594 Å, c = 9.462 Å
α = 90.00°, β = 90.00°, γ = 101.24°
Fractional coordinates of all 18 atoms:
Ce1 0.096 0.192 0.675
N1 0.680 0.359 0.187
Nd1 0.221 0.441 0.002
N2 0.635 0.271 0.521
N3 0.365 0.729 0.021
N4 0.965 0.929 0.549
N5 0.320 0.641 0.687
Ge1 0.553 0.106 0.954
N6 0.504 0.008 0.283
Ge2 0.447 0.894 0.454
N7 0.496 0.992 0.783
Ce2 0.105 0.210 0.295
Ce3 0.904 0.808 0.175
N8 0.653 0.305 0.858
Nd2 0.779 0.559 0.502
N9 0.035 0.071 0.049
Ce4 0.895 0.790 0.795
N10 0.347 0.695 0.358

---

Entry 9:
A plane-wave DFT calculation with PBE was carried out for a relaxed TbPF crystal.

Formation energy without anion corrections ... -2.062 eV per atom
VASP energy ... -0.22168 Ha/atom

a = 4.170 Å, b = 3.905 Å, c = 3.905 Å
α = 120.00°, β = 90.00°, γ = 90.00°
Fractional coordinates of all 3 atoms:
P1 0.667 0.667 0.333
Tb1 0.167 0.000 0.000
F1 0.167 0.333 0.667

---

Entry 10:
A plane-wave DFT calculation with PBE was carried out for a relaxed KAg2Mo crystal.

Energy relative to the elements ... 1.06 eV per atom
VASP energy ... -0.12301 Ha/atom

a = 5.745 Å, b = 5.745 Å, c = 5.745 Å
α = 135.23°, β = 135.23°, γ = 65.17°
Fractional coordinates of all 4 atoms:
K1 0.500 0.500 0.000
Ag1 0.000 0.000 0.000
Mo1 0.750 0.250 0.500
Ag2 0.250 0.750 0.500

---

Entry 11:
A plane-wave DFT calculation with PBE was carried out for a relaxed Co2GeBi2 crystal.

Energy relative to the elements ... 0.36 eV per atom
VASP energy ... -0.18211 Ha/atom

a = 6.466 Å, b = 6.466 Å, c = 4.593 Å
α = 90.00°, β = 90.00°, γ = 90.00°
Fractional coordinates of all 10 atoms:
Co1 0.361 0.861 0.000
Bi1 0.175 0.675 0.500
Co2 0.861 0.639 0.000
Ge1 0.000 0.000 0.000
Ge2 0.500 0.500 0.000
Co3 0.139 0.361 0.000
Co4 0.639 0.139 0.000
Bi2 0.825 0.325 0.500
Bi3 0.325 0.175 0.500
Bi4 0.675 0.825 0.500

---

Entry 12:
A plane-wave DFT calculation with PBE was carried out for a relaxed MgZn2GaBi crystal.

Energy relative to the elements ... 0.62 eV per atom
VASP energy ... -0.05850 Ha/atom

a = 5.509 Å, b = 5.569 Å, c = 5.509 Å
α = 90.00°, β = 90.00°, γ = 90.00°
Fractional coordinates of all 5 atoms:
Bi1 0.000 0.000 0.000
Zn1 0.000 0.000 0.500
Ga1 0.500 0.500 0.500
Zn2 0.500 0.000 0.000
Mg1 0.000 0.500 0.000

---

- Which of these has the highest VASP energy?
  MgZn2GaBi

---

- Look up the VASP energy of the tenth one.
  -0.12301 Ha/atom

---

- What is the VASP energy in the second record?
  -0.24670 Ha/atom